# NdHo2O | Alexandria via LeMat-Bulk | PBE | relaxed
# total DFT energy (no corrections) = -5.513 eV/atom
# E_form (uncorrected) = -0.79 eV per atom
# total moment = 0.00 Bohr magnetons per cell
# distance to the lowest polymorph of the same formula = 0.422 eV/atom
# N(E_F) = 4.708 states/eV per cell
data_NdHo2O
_chemical_formula_sum 'Nd1 Ho2 O1'
_space_group_name_H-M_alt 'P 4/m m m'
_space_group_IT_number 123
_space_group_name_Hall '-P 4 2'
_cell_length_a 3.198
_cell_length_b 3.198
_cell_length_c 8.800
_cell_angle_alpha 90.00
_cell_angle_beta 90.00
_cell_angle_gamma 90.00
loop_
_atom_site_label
_atom_site_type_symbol
_atom_site_fract_x
_atom_site_fract_y
_atom_site_fract_z
_atom_site_occupancy
Nd1 Nd 0.000 0.000 0.000 1
Ho1 Ho 0.500 0.500 0.325 1
O1 O 0.000 0.000 0.500 1

***

# Li2FeAu | Alexandria via LeMat-Bulk | PBE | relaxed
# total DFT energy (no corrections) = -3.920 eV/atom
# total moment = 5.32 Bohr magnetons per cell
# N(E_F) = 6.285 states/eV per cell
# energy of formation from the pure elements = -0.028 eV per atom
data_Li2FeAu
_chemical_formula_sum 'Li4 Fe2 Au2'
_space_group_name_H-M_alt 'I 4/m m m'
_space_group_IT_number 139
_space_group_name_Hall '-I 4 2'
_cell_length_a 3.739
_cell_length_b 3.739
_cell_length_c 8.370
_cell_angle_alpha 90.00
_cell_angle_beta 90.00
_cell_angle_gamma 90.00
loop_
_atom_site_label
_atom_site_type_symbol
_atom_site_fract_x
_atom_site_fract_y
_atom_site_fract_z
_atom_site_occupancy
Li1 Li 0.000 0.500 0.250 1
Fe1 Fe 0.000 0.000 0.000 1
Au1 Au 0.000 0.000 0.500 1

***

# Ce2SiBRh6 | Alexandria via LeMat-Bulk | PBE | relaxed
# total DFT energy (no corrections) = -7.474 eV/atom
# E_form (uncorrected) = -0.67 eV per atom
# total moment = 1.11 Bohr magnetons per cell
# N(E_F) = 10.112 states/eV per cell
data_Ce2SiBRh6
_chemical_formula_sum 'Ce2 Si1 B1 Rh6'
_space_group_name_H-M_alt 'P 4/m m m'
_space_group_IT_number 123
_space_group_name_Hall '-P 4 2'
_cell_length_a 4.392
_cell_length_b 4.392
_cell_length_c 8.679
_cell_angle_alpha 90.00
_cell_angle_beta 90.00
_cell_angle_gamma 90.00
loop_
_atom_site_label
_atom_site_type_symbol
_atom_site_fract_x
_atom_site_fract_y
_atom_site_fract_z
_atom_site_occupancy
Ce1 Ce 0.000 0.000 0.242 1
Si1 Si 0.500 0.500 0.500 1
B1 B 0.500 0.500 0.000 1
Rh1 Rh 0.000 0.500 0.000 1
Rh2 Rh 0.000 0.500 0.500 1
Rh3 Rh 0.500 0.500 0.234 1

***

# CeMn2GeN | Alexandria via LeMat-Bulk | PBE | relaxed
# total DFT energy (no corrections) = -8.132 eV/atom
# E_form (uncorrected) = -0.69 eV per atom
# total moment = 15.27 Bohr magnetons per cell
# N(E_F) = 24.057 states/eV per cell
data_CeMn2GeN
_chemical_formula_sum 'Ce4 Mn8 Ge4 N4'
_space_group_name_H-M_alt 'C m c m'
_space_group_IT_number 63
_space_group_name_Hall '-C 2c 2'
_cell_length_a 3.626
_cell_length_b 11.119
_cell_length_c 7.248
_cell_angle_alpha 90.00
_cell_angle_beta 90.00
_cell_angle_gamma 90.00
loop_
_atom_site_label
_atom_site_type_symbol
_atom_site_fract_x
_atom_site_fract_y
_atom_site_fract_z
_atom_site_occupancy
Ce1 Ce 0.000 0.038 0.250 1
Mn1 Mn 0.000 0.335 0.053 1
Ge1 Ge 0.000 0.236 0.750 1
N1 N 0.000 0.500 0.000 1

***

# Pm3Nd2Sm6Cd | Alexandria via LeMat-Bulk | PBE | relaxed
# total DFT energy (no corrections) = -4.425 eV/atom
# total moment = 0.00 Bohr magnetons per cell
# N(E_F) = 33.650 states/eV per cell
# energy of formation from the pure elements = -0.007 eV per atom
data_Pm3Nd2Sm6Cd
_chemical_formula_sum 'Pm6 Nd4 Sm12 Cd2'
_space_group_name_H-M_alt 'C 1 2/m 1'
_space_group_IT_number 12
_space_group_name_Hall '-C 2y'
_cell_length_a 6.232
_cell_length_b 10.808
_cell_length_c 11.933
_cell_angle_alpha 90.00
_cell_angle_beta 100.15
_cell_angle_gamma 90.00
loop_
_atom_site_label
_atom_site_type_symbol
_atom_site_fract_x
_atom_site_fract_y
_atom_site_fract_z
_atom_site_occupancy
Pm1 Pm 0.000 0.000 0.000 1
Pm2 Pm 0.000 0.333 0.000 1
Nd1 Nd 0.000 0.167 0.500 1
Sm1 Sm 0.246 0.336 0.747 1
Sm2 Sm 0.247 0.500 0.251 1
Cd1 Cd 0.000 0.500 0.500 1

***

# LiPrAlPd2 | Alexandria via LeMat-Bulk | PBE | relaxed
# total DFT energy (no corrections) = -4.864 eV/atom
# total moment = 0.00 Bohr magnetons per cell
# N(E_F) = 2.992 states/eV per cell
# energy of formation from the pure elements = -0.700 eV per atom
data_LiPrAlPd2
_chemical_formula_sum 'Li2 Pr2 Al2 Pd4'
_space_group_name_H-M_alt 'I -4 m 2'
_space_group_IT_number 119
_space_group_name_Hall 'I -4 -2'
_cell_length_a 4.031
_cell_length_b 4.031
_cell_length_c 11.883
_cell_angle_alpha 90.00
_cell_angle_beta 90.00
_cell_angle_gamma 90.00
loop_
_atom_site_label
_atom_site_type_symbol
_atom_site_fract_x
_atom_site_fract_y
_atom_site_fract_z
_atom_site_occupancy
Li1 Li 0.000 0.000 0.000 1
Pr1 Pr 0.000 0.500 0.250 1
Al1 Al 0.000 0.000 0.500 1
Pd1 Pd 0.000 0.500 0.633 1